Entry 1:
Ba2LiZnP PBE optimized geometry; uncorrected energy = -2.888 eV/atom; DFT formation energy = -0.3997 eV per atom; ΔE to the lowest computed polymorph = 0 meV per atom; volume = 185.4 Å³/cell; space-group type = P4/mmm (123)
1.0
6.295 0.000 0.000
0.000 6.295 0.000
0.000 0.000 4.677
Ba Li Zn P
2 1 1 1
direct
0.000 0.500 0.000
0.500 0.000 0.000
0.000 0.000 0.500
0.500 0.500 0.500
0.000 0.000 0.000


Entry 2:
Ba2LiPa PBE optimized geometry; uncorrected energy = -3.151 eV/atom; DFT formation energy = 0.6626 eV per atom; volume = 412.8 Å³/cell; space-group type = R-3m (166)
1.0
3.474 0.000 0.000
-1.737 3.009 0.000
0.000 0.000 39.491
Ba Li Pa
6 3 3
direct
0.000 0.000 0.086
0.000 0.000 0.914
0.333 0.667 0.581
0.333 0.667 0.752
0.667 0.333 0.248
0.667 0.333 0.419
0.000 0.000 0.500
0.333 0.667 0.167
0.667 0.333 0.833
0.000 0.000 0.000
0.333 0.667 0.667
0.667 0.333 0.333


Entry 3:
BaLi3Pa4S12 PBE optimized geometry; uncorrected energy = -6.316 eV/atom; volume = 497.1 Å³/cell; formation energy (no corrections) = -31.14 eV per formula unit; space-group type = Im-3 (204)
1.0
-4.990 4.990 4.990
4.990 -4.990 4.990
4.990 4.990 -4.990
Ba Li Pa S
1 3 4 12
direct
0.000 0.000 0.000
0.000 0.500 0.500
0.500 0.000 0.500
0.500 0.500 0.000
0.000 0.000 0.500
0.000 0.500 0.000
0.500 0.000 0.000
0.500 0.500 0.500
0.128 0.826 0.303
0.174 0.303 0.477
0.174 0.697 0.872
0.303 0.128 0.826
0.303 0.477 0.174
0.477 0.174 0.303
0.523 0.826 0.697
0.697 0.523 0.826
0.697 0.872 0.174
0.826 0.303 0.128
0.826 0.697 0.523
0.872 0.174 0.697


Entry 4:
Ba2Li3PaS6 PBE optimized geometry; uncorrected energy = -5.317 eV/atom; volume = 307.6 Å³/cell; formation energy (no corrections) = -19.96 eV per formula unit; space-group type = C2/m (12)
1.0
3.629 -6.914 0.000
3.629 6.914 0.000
-2.109 0.000 6.131
Ba Li Pa S
2 3 1 6
direct
0.175 0.825 0.000
0.825 0.175 0.000
0.000 0.000 0.500
0.394 0.606 0.500
0.606 0.394 0.500
0.500 0.500 0.000
0.151 0.424 0.739
0.260 0.260 0.236
0.424 0.151 0.739
0.576 0.849 0.261
0.740 0.740 0.764
0.849 0.576 0.261


Entry 5:
Ba2LiPaS5 PBE optimized geometry; uncorrected energy = -5.780 eV/atom; volume = 491.1 Å³/cell; formation energy (no corrections) = -16.12 eV per formula unit; space-group type = Cmc2_1 (36)
1.0
2.109 -8.994 0.000
2.109 8.994 0.000
0.000 0.000 12.947
Ba Li Pa S
4 2 2 10
direct
0.101 0.899 0.500
0.120 0.880 0.127
0.880 0.120 0.627
0.899 0.101 0.000
0.441 0.559 0.261
0.559 0.441 0.761
0.208 0.792 0.832
0.792 0.208 0.332
0.068 0.932 0.859
0.283 0.717 0.466
0.303 0.697 0.199
0.352 0.648 0.818
0.500 0.500 0.097
0.500 0.500 0.597
0.648 0.352 0.318
0.697 0.303 0.699
0.717 0.283 0.966
0.932 0.068 0.359


Entry 6:
BaLiPa2S5 PBE optimized geometry; uncorrected energy = -6.546 eV/atom; volume = 404.5 Å³/cell; formation energy (no corrections) = -15.45 eV per formula unit; space-group type = I4/mcm (140)
1.0
-3.807 3.807 6.977
3.807 -3.807 6.977
3.807 3.807 -6.977
Ba Li Pa S
2 2 4 10
direct
0.250 0.250 0.000
0.750 0.750 0.000
0.250 0.750 0.500
0.750 0.250 0.500
0.158 0.658 0.815
0.342 0.158 0.500
0.658 0.842 0.500
0.842 0.342 0.185
0.000 0.000 0.000
0.022 0.221 0.500
0.221 0.721 0.199
0.279 0.478 0.500
0.478 0.978 0.199
0.500 0.500 0.000
0.522 0.022 0.801
0.721 0.522 0.500
0.779 0.279 0.801
0.978 0.779 0.500